Computed, not measured: a relaxed structure of Pr2Al3Cu12Pt at the PBE-GGA level of DFT.

Unit cell a=10.0189 b=10.0189 c=10.0189 alpha=35.39 beta=35.39 gamma=35.39
Element x y z (fractional)
1 Pr 0.1494 0.1494 0.1494
2 Pr 0.8506 0.8506 0.8506
3 Al 0.0000 0.5000 0.5000
4 Al 0.5000 0.0000 0.5000
5 Al 0.5000 0.5000 0.0000
6 Cu 0.0822 0.0822 0.6899
7 Cu 0.0822 0.6899 0.0822
8 Cu 0.1406 0.5714 0.5714
9 Cu 0.3101 0.9178 0.9178
10 Cu 0.4286 0.4286 0.8594
11 Cu 0.4286 0.8594 0.4286
12 Cu 0.5714 0.1406 0.5714
13 Cu 0.5714 0.5714 0.1406
14 Cu 0.6899 0.0822 0.0822
15 Cu 0.8594 0.4286 0.4286
16 Cu 0.9178 0.3101 0.9178
17 Cu 0.9178 0.9178 0.3101
18 Pt 0.5000 0.5000 0.5000

Properties
Energy of formation, eV per atom: 0.0282
ρ, g cm⁻³: 7.3